A plane-wave DFT calculation with PBE-GGA was carried out for a relaxed structure of Nd2Dy15Sc2.

The structure in POSCAR format:
```
Nd2Dy15Sc2
1.0
5.582 3.223 5.775
-5.582 3.223 5.775
0.000 -6.445 5.775
Nd Dy Sc
2 15 2
direct
0.177 0.177 0.177
0.823 0.823 0.823
0.000 0.500 0.500
0.135 0.135 0.646
0.135 0.646 0.135
0.207 0.500 0.793
0.207 0.793 0.500
0.354 0.865 0.865
0.500 0.000 0.500
0.500 0.207 0.793
0.500 0.500 0.000
0.500 0.793 0.207
0.646 0.135 0.135
0.793 0.207 0.500
0.793 0.500 0.207
0.865 0.354 0.865
0.865 0.865 0.354
0.409 0.409 0.409
0.591 0.591 0.591
```

formation enthalpy at 0 K	277	meV per atom
symmetry	R-3m, No. 166
E_tot	-4.52	eV per atom